The following is a GGA+U calculation of CsCrSnF6 after structural relaxation, from Alexandria via LeMat-Bulk.

Unit cell a=5.8525 b=5.9591 c=5.7976 alpha=90.07 beta=89.94 gamma=59.06
Last column: nearest neighbours and their distance in Å.
Atoms (fractional coordinates):
F1 0.0159 0.5239 0.7257  1 Cr 2.02, 1 Sn 2.25
Cr1 0.3355 0.3289 0.5174  6 F 1.90-2.02
Cs1 0.0242 0.0074 0.9321  8 F 3.00-3.28
F2 0.5329 0.4741 0.6692  1 Cr 1.97
F3 0.1101 0.2125 0.3839  1 Cr 1.94
F4 0.1355 0.6423 0.3345  1 Cr 1.93
F5 0.6108 0.1397 0.2975  1 Cr 1.90
Sn1 0.7169 0.6673 0.4370  5 F 2.25-2.51
F6 0.5180 0.0039 0.7027  1 Cr 1.98

Output
SG: P1 (1)
total energy: -47.37 eV per cell
spin magnetization: 0.33 μB per atom